# 1
Density functional theory data (GGA-PBE) for an optimized crystal structure of NiRh4.

Cell lengths 9.437, 9.437, 9.437 Å; angles 163.46, 163.46, 23.48 degrees
Fractional coordinates of all 5 atoms:
Ni 0.000 0.000 0.000
Rh 0.198 0.198 0.000
Rh 0.406 0.406 0.000
Rh 0.594 0.594 0.000
Rh 0.802 0.802 0.000

Total moment, μB per atom: 0.000
Energy relative to the lowest polymorph listed for this composition, eV per atom: 0.010
SG: I4/mmm, No. 139
Energy of formation from the pure elements, eV per atom: 0.0339
DFT total energy, eV for the cell shown: -35.02



# 2
Density functional theory data (GGA-PBE) for an optimized crystal structure of NiRh.

Cell lengths 2.613, 2.613, 13.099 Å; angles 90.00, 90.00, 118.77 degrees
Fractional coordinates of all 6 atoms:
Ni 0.000 0.000 0.000
Ni 0.500 0.500 0.155
Ni 0.500 0.500 0.845
Rh 0.000 0.000 0.322
Rh 0.000 0.000 0.678
Rh 0.500 0.500 0.500

Total moment, μB per atom: 0.315
SG: Cmmm, No. 65
Energy of formation from the pure elements, eV per atom: 0.2170
DFT total energy, eV for the cell shown: -38.10



# 3
Density functional theory data (GGA-PBE) for an optimized crystal structure of Ni2Rh.

Cell lengths 2.617, 2.617, 6.233 Å; angles 90.00, 90.00, 120.00 degrees
Fractional coordinates of all 3 atoms:
Ni 0.333 0.667 0.341
Ni 0.667 0.333 0.659
Rh 0.000 0.000 0.000

Total moment, μB per atom: 0.712
SG: P-3m1, No. 164
Energy of formation from the pure elements, eV per atom: 0.0625
DFT total energy, eV for the cell shown: -18.73



# 4
Density functional theory data (GGA-PBE) for an optimized crystal structure of NiRh4.

Cell lengths 5.212, 5.212, 5.212 Å; angles 93.91, 93.91, 149.75 degrees
Fractional coordinates of all 5 atoms:
Ni 0.000 0.000 0.000
Rh 0.216 0.414 0.631
Rh 0.414 0.784 0.198
Rh 0.586 0.216 0.802
Rh 0.784 0.586 0.369

Total moment, μB per atom: 0.000
Energy relative to the lowest polymorph listed for this composition, eV per atom: 0.126
SG: I4/m, No. 87
Energy of formation from the pure elements, eV per atom: 0.1495
DFT total energy, eV for the cell shown: -34.44



# 5
Density functional theory data (GGA-PBE) for an optimized crystal structure of Ni3Rh.

Cell lengths 4.881, 4.881, 4.881 Å; angles 148.97, 63.34, 126.29 degrees
Fractional coordinates of all 4 atoms:
Ni 0.000 0.000 0.000
Ni 0.405 0.658 0.747
Ni 0.911 0.658 0.253
Rh 0.504 0.004 0.500

Total moment, μB per atom: 0.718
SG: Imm2, No. 44
Energy of formation from the pure elements, eV per atom: 0.0488
DFT total energy, eV for the cell shown: -24.50



# 6
Density functional theory data (GGA-PBE) for an optimized crystal structure of NiRh.

Cell lengths 4.074, 4.074, 4.833 Å; angles 90.00, 90.00, 120.00 degrees
Fractional coordinates of all 4 atoms:
Ni 0.333 0.667 0.250
Ni 0.667 0.333 0.750
Rh 0.333 0.667 0.750
Rh 0.667 0.333 0.250

Total moment, μB per atom: 0.660
SG: P6_3/mmc, No. 194
Energy of formation from the pure elements, eV per atom: 0.9276
DFT total energy, eV for the cell shown: -22.56



# 7
Density functional theory data (GGA-PBE) for an optimized crystal structure of Ni2Rh3.

Cell lengths 6.937, 6.937, 6.937 Å; angles 157.73, 148.86, 38.62 degrees
Fractional coordinates of all 5 atoms:
Ni 0.203 0.203 0.000
Ni 0.797 0.797 0.000
Rh 0.000 0.000 0.000
Rh 0.394 0.394 0.000
Rh 0.606 0.606 0.000

Total moment, μB per atom: 0.312
Energy relative to the lowest polymorph listed for this composition, eV per atom: 0.013
SG: Immm, No. 71
Energy of formation from the pure elements, eV per atom: 0.0494
DFT total energy, eV for the cell shown: -33.37



# 8
Density functional theory data (GGA-PBE) for an optimized crystal structure of NiRh5.

Cell lengths 4.299, 4.299, 5.284 Å; angles 90.00, 90.00, 120.00 degrees
Fractional coordinates of all 6 atoms:
Ni 0.000 0.000 0.000
Rh 0.000 0.000 0.500
Rh 0.333 0.667 0.369
Rh 0.333 0.667 0.874
Rh 0.667 0.333 0.126
Rh 0.667 0.333 0.631

Total moment, μB per atom: 0.000
SG: P-3m1, No. 164
Energy of formation from the pure elements, eV per atom: 0.2575
DFT total energy, eV for the cell shown: -40.99



# 9
Density functional theory data (GGA-PBE) for an optimized crystal structure of Ni3Rh.

Cell lengths 8.381, 8.381, 8.381 Å; angles 17.83, 17.83, 17.83 degrees
Fractional coordinates of all 4 atoms:
Ni 0.000 0.000 0.000
Ni 0.253 0.253 0.253
Ni 0.747 0.747 0.747
Rh 0.500 0.500 0.500

Total moment, μB per atom: 0.740
SG: R-3m, No. 166
Energy of formation from the pure elements, eV per atom: 0.0761
DFT total energy, eV for the cell shown: -24.39



# 10
Density functional theory data (GGA-PBE) for an optimized crystal structure of Ni2Rh.

Cell lengths 4.126, 4.126, 5.057 Å; angles 90.00, 90.00, 120.00 degrees
Fractional coordinates of all 6 atoms:
Ni 0.000 0.000 0.242
Ni 0.000 0.000 0.758
Ni 0.333 0.667 0.888
Ni 0.667 0.333 0.112
Rh 0.333 0.667 0.379
Rh 0.667 0.333 0.621

Total moment, μB per atom: 0.728
SG: P-3m1, No. 164
Energy of formation from the pure elements, eV per atom: 0.1785
DFT total energy, eV for the cell shown: -36.76



# 11
Density functional theory data (GGA-PBE) for an optimized crystal structure of Ni2Rh.

Cell lengths 4.719, 4.719, 4.719 Å; angles 106.79, 106.79, 114.99 degrees
Fractional coordinates of all 6 atoms:
Ni 0.143 0.643 0.787
Ni 0.357 0.143 0.500
Ni 0.643 0.857 0.500
Ni 0.857 0.357 0.213
Rh 0.250 0.250 0.000
Rh 0.750 0.750 0.000

Total moment, μB per atom: 0.608
SG: I4/mcm, No. 140
Energy of formation from the pure elements, eV per atom: 0.3929
DFT total energy, eV for the cell shown: -35.47



# 12
Density functional theory data (GGA-PBE) for an optimized crystal structure of NiRh.

Cell lengths 2.673, 2.673, 10.687 Å; angles 90.00, 90.00, 90.00 degrees
Fractional coordinates of all 6 atoms:
Ni 0.000 0.000 0.000
Ni 0.000 0.000 0.333
Ni 0.500 0.500 0.485
Rh 0.000 0.000 0.653
Rh 0.500 0.500 0.167
Rh 0.500 0.500 0.832

Total moment, μB per atom: 0.423
SG: P4mm, No. 99
Energy of formation from the pure elements, eV per atom: 0.0573
DFT total energy, eV for the cell shown: -39.05